No. 1
Entry from Alexandria: an optimized crystal structure of BaPIrCl2 (GGA-PBE).

a = 5.956 Å, b = 5.956 Å, c = 6.396 Å
α = 90.00°, β = 90.00°, γ = 90.00°
Space group P4/mmm (No. 123)
Inequivalent atoms, fractional coordinates:
Ba 0.000 0.000 0.000 x1
P 0.500 0.500 0.500 x1
Ir 0.000 0.000 0.500 x1
Cl 0.000 0.500 0.000 x2

Computed properties:
- Fermi-level density of states: 8.19 states/eV per cell
- Formation energy without anion corrections: 764 meV/atom
- Energy: -3.21 eV/atom

---

No. 2
Entry from Alexandria: an optimized crystal structure of BaPIrCl2 (GGA-PBE).

a = 5.236 Å, b = 5.236 Å, c = 4.498 Å
α = 90.00°, β = 90.00°, γ = 90.00°
Space group P4/mmm (No. 123)
Inequivalent atoms, fractional coordinates:
Ba 0.000 0.000 0.000 x1
P 0.500 0.500 0.000 x1
Ir 0.500 0.500 0.500 x1
Cl 0.000 0.500 0.500 x2

Computed properties:
- Fermi-level density of states: 2.18 states/eV per cell
- Formation energy without anion corrections: -789 meV/atom
- Energy: -4.77 eV/atom